VASP calculation (PBEsol) on a relaxed Ho5Si10Ir4 crystal.

Properties
E_form (uncorrected) = -958 meV per atom

Cell: 12.495 12.495 4.209 Å, 90.00 90.00 90.00°
Space group P4/mbm (No. 127)
Asymmetric unit:
Ho1 0.000 0.000 0.000 (multiplicity 2)
Ho2 0.115 0.385 0.500 (multiplicity 4)
Ho3 0.175 0.675 0.500 (multiplicity 4)
Si1 0.000 0.157 0.500 (multiplicity 8)
Si2 0.066 0.566 0.000 (multiplicity 4)
Si3 0.164 0.200 0.000 (multiplicity 8)
Ir1 0.020 0.754 0.000 (multiplicity 8)

VASP calculation (PBEsol) on a relaxed K2YRh crystal.

Properties
Energy above the lowest structure with this stoichiometry = 0 meV/atom
Energy relative to the elements = 0.018 eV/atom

Cell: 3.586 3.586 11.109 Å, 90.00 90.00 90.00°
Space group P4mm (No. 99)
Asymmetric unit:
K1 0.000 0.000 0.000 (multiplicity 1)
K2 0.500 0.500 0.371 (multiplicity 1)
Y1 0.500 0.500 0.689 (multiplicity 1)
Rh1 0.000 0.000 0.589 (multiplicity 1)

VASP calculation (PBEsol) on a relaxed KRb2InF6 crystal.

Properties
E_form (uncorrected) = -2751 meV per atom

Cell: 6.336 6.336 9.235 Å, 90.00 90.00 90.00°
Space group I4/m (No. 87)
Asymmetric unit:
K1 0.000 0.000 0.000 (multiplicity 2)
Rb1 0.000 0.500 0.250 (multiplicity 4)
In1 0.000 0.000 0.500 (multiplicity 2)
F1 0.000 0.000 0.274 (multiplicity 4)
F2 0.158 0.711 0.500 (multiplicity 8)

VASP calculation (PBEsol) on a relaxed CdMo2Au crystal.

Properties
Energy relative to the elements = 0.170 eV/atom

Cell: 3.236 4.464 9.214 Å, 90.00 90.00 90.00°
Space group Cmm2 (No. 35)
Asymmetric unit:
Cd1 0.000 0.000 0.000 (multiplicity 2)
Mo1 0.000 0.000 0.513 (multiplicity 2)
Mo2 0.000 0.500 0.737 (multiplicity 2)
Au1 0.000 0.500 0.263 (multiplicity 2)

VASP calculation (PBEsol) on a relaxed ZrAg3Ir crystal.

Properties
Energy relative to the elements = 2.150 eV/atom

Cell: 4.887 4.887 4.887 Å, 90.00 90.00 90.00°
Space group Pm-3m (No. 221)
Asymmetric unit:
Zr1 0.000 0.000 0.000 (multiplicity 1)
Ag1 0.000 0.000 0.500 (multiplicity 3)
Ir1 0.500 0.500 0.500 (multiplicity 1)

VASP calculation (PBEsol) on a relaxed Ga2CoRu crystal.

Properties
Energy relative to the elements = -0.331 eV/atom

Cell: 5.838 5.838 5.838 Å, 90.00 90.00 90.00°
Space group Fm-3m (No. 225)
Asymmetric unit:
Ga1 0.250 0.250 0.250 (multiplicity 8)
Co1 0.000 0.000 0.000 (multiplicity 4)
Ru1 0.000 0.000 0.500 (multiplicity 4)

VASP calculation (PBEsol) on a relaxed GaSe2BrN crystal.

Properties
E_form (uncorrected) = 1241 meV per atom
Energy above the lowest structure with this stoichiometry = 660 meV/atom

Cell: 5.302 5.302 3.671 Å, 90.00 90.00 90.00°
Space group P4/mmm (No. 123)
Asymmetric unit:
Ga1 0.000 0.000 0.000 (multiplicity 1)
Se1 0.000 0.500 0.500 (multiplicity 2)
Br1 0.500 0.500 0.500 (multiplicity 1)
N1 0.500 0.500 0.000 (multiplicity 1)

VASP calculation (PBEsol) on a relaxed MgZn2Fe2 crystal.

Properties
Energy relative to the elements = 0.332 eV/atom

Cell: 3.674 3.674 10.999 Å, 90.00 90.00 90.00°
Space group I4/mmm (No. 139)
Asymmetric unit:
Mg1 0.000 0.000 0.000 (multiplicity 2)
Zn1 0.000 0.500 0.250 (multiplicity 4)
Fe1 0.000 0.000 0.403 (multiplicity 4)

VASP calculation (PBEsol) on a relaxed CdIN2 crystal.

Properties
E_form (uncorrected) = 1808 meV per atom
Energy above the lowest structure with this stoichiometry = 474 meV/atom

Cell: 6.012 6.012 6.012 Å, 90.00 90.00 90.00°
Space group Fm-3m (No. 225)
Asymmetric unit:
Cd1 0.000 0.000 0.000 (multiplicity 4)
I1 0.000 0.000 0.500 (multiplicity 4)
N1 0.250 0.250 0.250 (multiplicity 8)

VASP calculation (PBEsol) on a relaxed LiAl3 crystal.

Properties
Energy relative to the elements = -0.006 eV/atom

Cell: 3.402 3.402 5.659 Å, 90.00 90.00 90.00°
Space group P4/mmm (No. 123)
Asymmetric unit:
Li1 0.000 0.000 0.000 (multiplicity 1)
Al1 0.000 0.000 0.500 (multiplicity 1)
Al2 0.500 0.500 0.250 (multiplicity 2)

VASP calculation (PBEsol) on a relaxed BaAl2Pt crystal.

Properties
Energy relative to the elements = -0.439 eV/atom

Cell: 3.269 3.269 7.957 Å, 90.00 90.00 90.00°
Space group P4/mmm (No. 123)
Asymmetric unit:
Ba1 0.000 0.000 0.000 (multiplicity 1)
Al1 0.500 0.500 0.330 (multiplicity 2)
Pt1 0.000 0.000 0.500 (multiplicity 1)

VASP calculation (PBEsol) on a relaxed CdRu crystal.

Properties
Energy relative to the elements = 0.468 eV/atom

Cell: 4.129 4.129 7.438 Å, 90.00 90.00 90.00°
Space group I4_1/amd (No. 141, origin choice 2)
Asymmetric unit:
Cd1 0.000 0.250 0.375 (multiplicity 4)
Ru1 0.000 0.250 0.875 (multiplicity 4)